CaTb3Cu4, relaxed, DFT PBE; symmetry = P4/mmm, No. 123; crystal system = tetragonal; DFT formation energy = -196 meV/atom
1.0
-0.995 -4.145 2.513
5.277 -3.223 -3.225
6.157 2.883 7.194
Ca Tb Cu
2 6 8
Direct
0.000 0.500 0.000
0.000 0.500 0.500
0.000 0.000 0.000
0.000 0.000 0.500
0.500 0.000 0.750
0.500 0.000 0.250
0.500 0.500 0.750
0.500 0.500 0.250
0.500 0.762 0.000
0.500 0.762 0.500
0.500 0.238 0.000
0.500 0.238 0.500
0.000 0.762 0.750
0.000 0.762 0.250
0.000 0.238 0.250
0.000 0.238 0.750



Tm3CdBi, relaxed, DFT PBE; symmetry = Cmcm, No. 63; crystal system = orthorhombic; DFT formation energy = -348 meV/atom
1.0
-3.009 -2.311 -3.273
3.928 -2.495 -1.849
-3.672 -6.829 8.198
Tm Cd Bi
6 2 2
Direct
0.750 0.120 0.889
0.750 0.728 0.105
0.750 0.925 0.499
0.250 0.623 0.895
0.250 0.231 0.111
0.250 0.426 0.501
0.250 0.828 0.304
0.750 0.524 0.696
0.250 0.021 0.691
0.750 0.330 0.309



Mg2Ti2Pt3, relaxed, DFT PBE; symmetry = Cmmm, No. 65; crystal system = orthorhombic; DFT formation energy = -677 meV/atom
1.0
2.931 0.000 0.389
0.000 2.926 0.000
-0.282 0.000 13.359
Mg Ti Pt
2 2 3
Direct
0.567 0.500 0.865
0.433 0.500 0.135
0.705 0.500 0.591
0.295 0.500 0.409
0.861 0.000 0.277
0.000 0.000 0.000
0.139 0.000 0.723



Nd2ErNb, relaxed, DFT PBE; symmetry = R-3m, No. 166; crystal system = trigonal; DFT formation energy = 570 meV/atom
1.0
3.357 0.000 0.000
1.678 2.907 0.000
1.678 0.969 11.739
Nb Nd Er
1 2 1
Direct
0.000 0.000 0.000
0.083 0.083 0.751
0.917 0.917 0.249
0.500 0.500 0.500



SrMgRe, relaxed, DFT PBE; symmetry = F-43m, No. 216; excess energy over the best structure of this formula in the dataset = 547 meV/atom; crystal system = cubic; DFT formation energy = 1306 meV/atom
1.0
-0.085 4.943 -0.567
-4.008 2.212 -1.951
-2.954 2.784 2.879
Mg Re Sr
1 1 1
Direct
0.500 0.500 0.500
0.750 0.750 0.750
0.000 0.000 0.000



Ba2CdPb3Au4, relaxed, DFT PBE; symmetry = P-4m2, No. 115; crystal system = tetragonal; DFT formation energy = -450 meV/atom
1.0
-2.040 0.784 4.552
-3.838 -3.058 -1.193
5.773 -8.850 4.112
Ba Cd Pb Au
2 1 3 4
Direct
0.500 0.000 0.240
0.000 0.500 0.760
0.500 0.500 0.500
0.000 0.000 0.500
0.500 0.000 0.874
0.000 0.500 0.126
0.500 0.500 0.000
0.000 0.000 0.000
0.500 0.000 0.624
0.000 0.500 0.376



PaAgBi, relaxed, DFT PBE; symmetry = P4/nmm, No. 129; excess energy over the best structure of this formula in the dataset = 23 meV/atom; crystal system = tetragonal; DFT formation energy = 141 meV/atom
1.0
-2.233 0.446 3.261
2.130 -2.809 1.843
6.315 6.997 3.366
Ag Pa Bi
2 2 2
Direct
0.000 0.500 0.566
0.500 0.000 0.434
0.000 0.500 0.260
0.500 0.000 0.740
0.500 0.000 0.111
0.000 0.500 0.889



CrRe2Si, relaxed, DFT PBE; symmetry = Pmm2, No. 25; uncorrected formation energy = -12 kJ/mol of formula units; crystal system = orthorhombic
1.0
-2.559 -0.531 0.989
-0.422 -2.869 -2.632
1.940 -3.276 3.261
Cr Re Si
1 2 1
Direct
0.500 0.500 0.733
0.000 0.000 0.000
0.500 0.500 0.259
0.000 0.000 0.508



no.,final energy (hartree per atom),magnetization (μB per formula unit)
1,-0.155,0.00
2,-0.147,0.00
3,-0.220,1.54
4,-0.201,0.00
5,-0.145,2.56
6,-0.123,0.00
7,-0.194,1.08
8,-0.368,0.55